Here is a geometry-optimized YTmPu2Se5 structure from Alexandria. Energies are from PBE.

- E (eV per cell) = -67.740

Cell and atoms, written as CIF:
```
data_YTmPu2Se5
_space_group_name_H-M_alt 'P 4/m m m'
_space_group_IT_number 123
_space_group_name_Hall '-P 4 2'
_cell_length_a 5.089
_cell_length_b 5.089
_cell_length_c 10.715
_cell_angle_alpha 90.00
_cell_angle_beta 90.00
_cell_angle_gamma 90.00
loop_
_atom_site_label
_atom_site_type_symbol
_atom_site_fract_x
_atom_site_fract_y
_atom_site_fract_z
Y1 Y 0.000 0.000 0.000
Tm1 Tm 0.000 0.000 0.500
Pu1 Pu 0.500 0.500 0.306
Se1 Se 0.000 0.000 0.245
Se2 Se 0.000 0.500 0.500
Se3 Se 0.500 0.500 0.000
```